[1]
Here is crystalline ErAl4Au8 at its relaxed geometry from the Alexandria database. Energies are from GGA-PBE.

Calculated formation energy: -6.0 eV per formula unit
Space group: I4/mmm, No. 139
Crystal system: tetragonal

```
ErAl4Au8
1.0
-4.582 4.582 2.799
4.582 -4.582 2.799
4.582 4.582 -2.799
Er Al Au
1 4 8
Cartesian
0.000 0.000 0.000
2.291 2.291 -1.400
2.291 -2.291 1.400
-2.291 2.291 1.400
2.291 2.291 1.400
2.936 0.000 0.000
6.228 0.000 0.000
4.582 2.566 0.000
0.000 2.936 0.000
2.566 4.582 0.000
2.016 0.000 2.799
0.000 6.228 0.000
0.000 2.016 2.799
```

[2]
Here is crystalline ErAl4Au8 at its relaxed geometry from the Alexandria database. Energies are from GGA-PBE.

Calculated formation energy: -2.4 eV per formula unit
Space group: R-3m, No. 166
Crystal system: trigonal

```
ErAl4Au8
1.0
3.484 2.012 6.176
-3.484 2.012 6.176
0.000 -4.023 6.176
Er Al Au
1 4 8
Cartesian
0.000 0.000 0.000
-1.742 -1.006 6.176
-1.742 1.006 12.353
0.000 2.012 6.176
0.000 0.000 9.265
-2.003 -1.157 10.184
0.000 0.000 4.619
0.000 -2.313 8.345
-2.003 1.157 8.345
2.003 -1.157 10.184
0.000 2.313 10.184
0.000 0.000 13.910
2.003 1.157 8.345
```

[3]
Here is crystalline Er2AlAu4 at its relaxed geometry from the Alexandria database. Energies are from GGA-PBE.

Calculated formation energy: -4.4 eV per formula unit
Space group: R-3m, No. 166
Crystal system: trigonal

```
Er2AlAu4
1.0
2.422 1.398 7.664
-2.422 1.398 7.664
0.000 -2.796 7.664
Er Al Au
2 1 4
Cartesian
0.000 0.000 5.667
0.000 0.000 17.326
0.000 0.000 0.000
0.000 0.000 2.724
0.000 0.000 8.582
0.000 0.000 14.412
0.000 0.000 20.269
```

[4]
Here is crystalline ErAl4Au2 at its relaxed geometry from the Alexandria database. Energies are from GGA-PBE.

Calculated formation energy: -3.5 eV per formula unit
Space group: P4_2/mnm, No. 136
Crystal system: tetragonal

```
ErAl4Au2
1.0
8.076 0.000 0.000
0.000 8.076 0.000
0.000 0.000 4.019
Er Al Au
2 8 4
Cartesian
0.000 0.000 0.000
4.038 4.038 2.009
0.685 2.716 2.009
1.322 4.724 0.000
2.716 0.685 2.009
3.353 6.754 0.000
4.724 1.322 0.000
5.361 7.391 2.009
6.754 3.353 0.000
7.391 5.361 2.009
1.659 6.417 2.009
2.379 2.379 0.000
5.697 5.697 0.000
6.417 1.659 2.009
```

[5]
Here is crystalline Er2Al5Au4 at its relaxed geometry from the Alexandria database. Energies are from GGA-PBE.

Calculated formation energy: -6.3 eV per formula unit
Space group: Fmmm, No. 69
Crystal system: orthorhombic

```
Er2Al5Au4
1.0
0.000 4.580 8.763
2.699 0.000 8.763
2.699 4.580 0.000
Er Al Au
2 5 4
Cartesian
2.699 4.580 1.784
2.699 4.580 15.742
1.350 2.290 0.000
1.350 2.290 4.382
1.350 2.290 8.763
2.699 4.580 8.763
4.049 6.870 13.145
2.699 3.084 6.450
2.699 3.084 11.077
2.699 6.076 6.450
2.699 6.076 11.077
```

[6]
Here is crystalline ErAl3Au3 at its relaxed geometry from the Alexandria database. Energies are from GGA-PBE.

Calculated formation energy: -0.9 eV per formula unit
Space group: Pm-3n, No. 223
Crystal system: cubic

```
ErAl3Au3
1.0
6.920 0.000 0.000
0.000 6.920 0.000
0.000 0.000 6.920
Er Al Au
2 6 6
Cartesian
0.000 0.000 0.000
3.460 3.460 3.460
0.000 1.730 3.460
0.000 5.190 3.460
1.730 3.460 0.000
3.460 0.000 1.730
3.460 0.000 5.190
5.190 3.460 0.000
0.000 3.460 1.730
0.000 3.460 5.190
1.730 0.000 3.460
3.460 1.730 0.000
3.460 5.190 0.000
5.190 0.000 3.460
```

[7]
Here is crystalline Er2Al5Au3 at its relaxed geometry from the Alexandria database. Energies are from GGA-PBE.

Calculated formation energy: -6.5 eV per formula unit
Space group: Cmc2_1, No. 36
Crystal system: orthorhombic

```
Er2Al5Au3
1.0
2.171 -12.555 0.000
2.171 12.555 0.000
0.000 0.000 6.973
Er Al Au
4 10 6
Cartesian
2.171 12.088 3.487
2.171 4.366 3.613
2.171 -4.366 0.126
2.171 -12.088 0.000
2.171 9.987 5.934
2.171 7.345 2.303
2.171 7.329 5.114
2.171 3.039 6.939
2.171 1.326 4.675
2.171 -1.326 1.188
2.171 -3.039 3.453
2.171 -7.329 1.627
2.171 -7.345 5.790
2.171 -9.987 2.447
2.171 9.826 1.676
2.171 5.671 0.238
2.171 1.256 1.972
2.171 -1.256 5.459
2.171 -5.671 3.725
2.171 -9.826 5.163
```

[8]
Here is crystalline ErAlAu4 at its relaxed geometry from the Alexandria database. Energies are from GGA-PBE.

Calculated formation energy: -3.3 eV per formula unit
Space group: C2/m, No. 12
Crystal system: monoclinic

```
ErAlAu4
1.0
4.238 -3.151 0.000
4.238 3.151 0.000
-0.383 0.000 8.918
Er Al Au
2 2 8
Cartesian
1.343 0.000 2.606
6.748 0.000 6.311
2.965 0.000 7.752
5.127 0.000 1.166
3.197 1.710 0.981
1.679 0.000 5.582
4.046 1.361 4.459
4.895 1.710 7.937
3.197 -1.710 0.981
4.046 -1.361 4.459
6.413 0.000 3.335
4.895 -1.710 7.937
```

One value per record, in order, for uncorrected energy: -51.8; -48.2; -30.4; -59.3; -47.2; -53.0; -88.4; -49.3 eV for the cell shown.